Entry 1:
The following is a PBE-GGA calculation of a relaxed Zn4Ni3Ir crystal, from the Alexandria database.

Properties
As for the total energy: -4.140 eV/atom. The density of states at the Fermi level is 2.28 states/eV/cell. The formation energy is -0.23 eV per atom.

a = 3.072 Å, b = 4.073 Å, c = 8.095 Å
α = 90.00°, β = 90.00°, γ = 90.00°
Space group Pmmm (No. 47)
Unique sites:
Zn (0.000, 0.000, 0.000) [1 per cell]
Zn (0.000, 0.000, 0.500) [1 per cell]
Zn (0.000, 0.500, 0.241) [2 per cell]
Ni (0.500, 0.000, 0.245) [2 per cell]
Ni (0.500, 0.500, 0.000) [1 per cell]
Ir (0.500, 0.500, 0.500) [1 per cell]


Entry 2:
The following is a PBE-GGA calculation of a relaxed K2HfRuO crystal, from the Alexandria database.

Properties
As for the total energy: -5.139 eV/atom. The density of states at the Fermi level is 8.73 states/eV/cell. The uncorrected formation energy is 0.1372 eV per atom.

a = 5.281 Å, b = 5.281 Å, c = 4.163 Å
α = 90.00°, β = 90.00°, γ = 90.00°
Space group P4/mmm (No. 123)
Unique sites:
K (0.000, 0.500, 0.000) [2 per cell]
Hf (0.000, 0.000, 0.500) [1 per cell]
Ru (0.500, 0.500, 0.500) [1 per cell]
O (0.000, 0.000, 0.000) [1 per cell]


| no. | total magnetization (μB per cell) |
| --- | --- |
| 1 | 0.000 |
| 2 | 1.298 |